A plane-wave DFT calculation with PBE was carried out for NaSn3Pd12 after structural relaxation.

Summary:
Energy of formation from the pure elements   -0.37 eV per atom
Size of the total moment   0.000 μB/atom
Theoretical density   10.5 g cm⁻³
Raw total energy   -5.102 eV/atom

a = 4.0617 Å, b = 4.0617 Å, c = 15.9519 Å
α = 90.00°, β = 90.00°, γ = 90.00°
Space group P4/mmm (No. 123)
Symmetry-distinct sites (fractional):
Na  0.0000  0.0000  0.0000
Sn  0.0000  0.0000  0.2469
Sn  0.0000  0.0000  0.5000
Pd  0.0000  0.5000  0.1268
Pd  0.0000  0.5000  0.3745
Pd  0.5000  0.5000  0.0000
Pd  0.5000  0.5000  0.2505
Pd  0.5000  0.5000  0.5000

---

A plane-wave DFT calculation with PBE was carried out for LiTh2Pd after structural relaxation.

Summary:
Energy of formation from the pure elements   0.06 eV per atom
Size of the total moment   0.000 μB/atom
Theoretical density   8.2 g cm⁻³
Raw total energy   -5.430 eV/atom

a = 3.4682 Å, b = 3.4682 Å, c = 33.8434 Å
α = 90.00°, β = 90.00°, γ = 120.00°
Space group R-3m (No. 166, hexagonal axes)
Symmetry-distinct sites (fractional):
Li  0.0000  0.0000  0.0000
Th  0.0000  0.0000  0.1006
Pd  0.0000  0.0000  0.5000

---

A plane-wave DFT calculation with PBE was carried out for Pm3PrNd2P6 after structural relaxation.

Summary:
Energy of formation from the pure elements   -1.55 eV per atom
Size of the total moment   0.000 μB/atom
Theoretical density   5.7 g cm⁻³
Raw total energy   -6.632 eV/atom

a = 18.1101 Å, b = 4.1581 Å, c = 8.3110 Å
α = 90.00°, β = 103.28°, γ = 90.00°
Space group C2/m (No. 12)
Symmetry-distinct sites (fractional):
Pm  0.0000  0.0000  0.0000
Pm  0.1667  0.5000  0.3331
Pr  0.0000  0.0000  0.5000
Nd  0.1668  0.5000  0.8336
P  0.0004  0.5000  0.2473
P  0.1662  0.0000  0.0844
P  0.1677  0.0000  0.5825

---

A plane-wave DFT calculation with PBE was carried out for Sm4RhS3 after structural relaxation.

Summary:
Size of the total moment   0.000 μB/atom
Uncorrected formation energy   -13.20 eV per formula unit
Theoretical density   7.0 g cm⁻³
Raw total energy   -6.476 eV/atom

a = 8.2065 Å, b = 11.5072 Å, c = 3.9948 Å
α = 90.00°, β = 90.00°, γ = 90.00°
Space group Cmmm (No. 65)
Symmetry-distinct sites (fractional):
Sm  0.0000  0.2489  0.0000
Sm  0.2430  0.0000  0.5000
Rh  0.0000  0.0000  0.0000
S  0.0000  0.5000  0.0000
S  0.2500  0.2500  0.5000

---

A plane-wave DFT calculation with PBE was carried out for LaNd3Al2 after structural relaxation.

Summary:
Energy of formation from the pure elements   -0.24 eV per atom
Energy relative to the lowest polymorph listed for this composition   0 meV/atom
Size of the total moment   0.000 μB/atom
Theoretical density   5.9 g cm⁻³
Raw total energy   -4.694 eV/atom

a = 5.2952 Å, b = 9.8983 Å, c = 6.7654 Å
α = 90.00°, β = 90.00°, γ = 90.00°
Space group Pmc2_1 (No. 26)
Symmetry-distinct sites (fractional):
La  0.0000  0.0466  0.0000
Nd  0.0000  0.3295  0.6678
Nd  0.5000  0.1732  0.2839
Nd  0.5000  0.4526  0.9559
Al  0.0000  0.3520  0.1884
Al  0.5000  0.1510  0.7630

---

A plane-wave DFT calculation with PBE was carried out for SrTe2ICl after structural relaxation.

Summary:
Energy relative to the lowest polymorph listed for this composition   0 meV/atom
Size of the total moment   0.000 μB/atom
Uncorrected formation energy   -2.07 eV per formula unit
Theoretical density   4.5 g cm⁻³
Raw total energy   -2.687 eV/atom

a = 5.2348 Å, b = 5.2348 Å, c = 6.7598 Å
α = 90.00°, β = 90.00°, γ = 90.00°
Space group P4/mmm (No. 123)
Symmetry-distinct sites (fractional):
Sr  0.0000  0.0000  0.0000
Te  0.0000  0.5000  0.5000
I  0.5000  0.5000  0.0000
Cl  0.5000  0.5000  0.5000

---

A plane-wave DFT calculation with PBE was carried out for Pm4Te2IrS after structural relaxation.

Summary:
Size of the total moment   0.000 μB/atom
Uncorrected formation energy   -11.07 eV per formula unit
Theoretical density   7.7 g cm⁻³
Raw total energy   -6.168 eV/atom

a = 7.4430 Å, b = 4.2015 Å, c = 7.6633 Å
α = 90.00°, β = 108.48°, γ = 90.00°
Space group P2/m (No. 10)
Symmetry-distinct sites (fractional):
Pm  0.2268  0.0000  0.2086
Pm  0.2570  0.5000  0.7852
Te  0.0000  0.0000  0.5000
Te  0.5000  0.5000  0.5000
Ir  0.0000  0.5000  0.0000
S  0.5000  0.0000  0.0000

---

A plane-wave DFT calculation with PBE was carried out for NaLaY2Hf after structural relaxation.

Summary:
Energy of formation from the pure elements   0.77 eV per atom
Size of the total moment   0.000 μB/atom
Theoretical density   4.8 g cm⁻³
Raw total energy   -5.051 eV/atom

a = 5.5767 Å, b = 5.5767 Å, c = 5.7351 Å
α = 90.00°, β = 90.00°, γ = 90.00°
Space group P4/mmm (No. 123)
Symmetry-distinct sites (fractional):
Na  0.0000  0.0000  0.0000
La  0.5000  0.5000  0.0000
Y  0.0000  0.5000  0.5000
Hf  0.0000  0.0000  0.5000